(A)
# Y3Mg2Cu

Y3Mg2Cu after structural relaxation (GGA-PBE, Alexandria via LeMat-Bulk).

## Properties
- M_tot (μB/f.u.) = 0.0

```
Y3Mg2Cu
1.0
7.121 -0.003 0.000
1.219 7.016 0.000
0.000 0.000 6.147
Y Mg Cu
6 4 2
direct
0.054 0.406 0.250
0.080 0.080 0.750
0.406 0.054 0.250
0.920 0.920 0.250
0.594 0.946 0.750
0.946 0.594 0.750
0.339 0.661 0.500
0.339 0.661 0.000
0.661 0.339 0.500
0.661 0.339 0.000
0.334 0.334 0.750
0.666 0.666 0.250
```

(B)
# Y3Mg2Cu

Y3Mg2Cu after structural relaxation (GGA-PBE, Alexandria via LeMat-Bulk).

## Properties
- M_tot (μB/f.u.) = 0.0

```
Y3Mg2Cu
1.0
4.603 -3.391 0.000
4.603 3.391 0.000
2.106 0.000 5.315
Cu Y Mg
1 3 2
direct
0.500 0.500 0.500
0.500 0.000 0.500
0.000 0.500 0.500
0.500 0.500 0.000
0.884 0.884 0.884
0.116 0.116 0.116
```

Which structure loses on stability? (B) does.

(A)
# Y3MgCu

Y3MgCu after structural relaxation (GGA-PBE, Alexandria via LeMat-Bulk).

## Properties
- M_tot (μB/f.u.) = 2.5

```
Y3MgCu
1.0
-4.057 -1.974 -2.898
-2.592 -1.297 4.512
-2.362 4.814 0.027
Cu Mg Y
1 1 3
direct
0.000 0.000 0.000
0.500 0.500 0.500
0.500 0.000 0.000
0.000 0.500 0.000
0.000 0.000 0.500
```

(B)
# Y3MgCu

Y3MgCu after structural relaxation (GGA-PBE, Alexandria via LeMat-Bulk).

## Properties
- M_tot (μB/f.u.) = 0.0

```
Y3MgCu
1.0
-2.756 3.300 -7.218
2.644 -7.971 0.236
-4.305 -1.399 1.004
Y Mg Cu
6 2 2
direct
0.800 0.600 0.250
0.800 0.200 0.250
0.600 0.800 0.750
0.200 0.800 0.750
0.200 0.400 0.750
0.400 0.200 0.250
0.000 0.000 0.500
0.000 0.000 0.000
0.667 0.333 0.750
0.333 0.667 0.250
```

(C)
# Y3MgCu

Y3MgCu after structural relaxation (GGA-PBE, Alexandria via LeMat-Bulk).

## Properties
- M_tot (μB/f.u.) = 0.8

```
Y3MgCu
1.0
3.928 -6.803 0.000
3.928 6.803 0.000
0.000 0.000 5.225
Cu Y Mg
2 6 2
direct
0.000 0.000 0.500
0.000 0.000 0.000
0.814 0.629 0.250
0.186 0.814 0.750
0.629 0.814 0.750
0.371 0.186 0.250
0.814 0.186 0.250
0.186 0.371 0.750
0.333 0.667 0.250
0.667 0.333 0.750
```

(D)
# Y3MgCu

Y3MgCu after structural relaxation (GGA-PBE, Alexandria via LeMat-Bulk).

## Properties
- M_tot (μB/f.u.) = 0.0

```
Y3MgCu
1.0
-2.235 2.235 8.640
2.235 -2.235 8.640
2.235 2.235 -8.640
Y Cu Mg
3 1 1
direct
0.204 0.204 0.000
0.858 0.358 0.500
0.358 0.858 0.500
0.750 0.750 0.000
0.006 0.006 0.000
```

Which structure loses on stability? (D) does.

(A)
# Y4MgCu

Y4MgCu after structural relaxation (GGA-PBE, Alexandria via LeMat-Bulk).

## Properties
- M_tot (μB/f.u.) = 0.0

```
Y4MgCu
1.0
-4.590 0.027 1.723
1.593 -1.811 4.271
1.027 7.100 2.627
Cu Y Mg
1 4 1
direct
0.001 0.998 0.498
0.501 0.997 0.281
0.001 0.497 0.715
0.501 0.997 0.715
0.001 0.497 0.281
0.501 0.497 0.998
```

(B)
# Y4MgCu

Y4MgCu after structural relaxation (GGA-PBE, Alexandria via LeMat-Bulk).

## Properties
- M_tot (μB/f.u.) = 0.0

```
Y4MgCu
1.0
-0.349 3.033 -1.464
2.873 -3.426 -7.780
-10.322 -2.496 -2.712
Y Mg Cu
8 2 2
direct
0.500 0.341 0.062
0.500 0.341 0.438
0.500 0.221 0.750
0.500 0.659 0.562
0.000 0.000 0.000
0.000 0.000 0.500
0.500 0.659 0.938
0.500 0.779 0.250
0.000 0.138 0.250
0.000 0.862 0.750
0.000 0.504 0.750
0.000 0.496 0.250
```

Which structure loses on stability? (A) does.